VASP calculation (PBE) on a relaxed KNaGaHg2 crystal.

Lattice parameters (Å, degrees): 5.3895 5.3895 5.7017 90.00 90.00 90.00
Closest atoms and distances in Å follow each position.
Space group P4/mmm (No. 123)
One atom of each set of equivalent atoms:
K1 0.0000 0.0000 0.0000 [1 per cell]  4 Na 3.81, 8 Hg 3.92
Na1 0.5000 0.5000 0.0000 [1 per cell]  2 Ga 2.85
Ga1 0.5000 0.5000 0.5000 [1 per cell]  4 Hg 2.69, 2 Na 2.85
Hg1 0.0000 0.5000 0.5000 [2 per cell]  2 Ga 2.69

Output
Formation enthalpy at 0 K ... -0.09 eV/atom